A relaxed K3Na2LiCl6 crystal. Source: Alexandria, functional PBE.

Properties
As for the total energy: -82.1 eV/cell. For the uncorrected formation energy, the calculation gives -1.84 eV per atom.

Cell: 7.232 12.530 7.376 Å, 90.00 109.11 90.00°
Space group C2/m (No. 12)
Symmetry-distinct sites (fractional):
K 0.000 0.000 0.000 [2 per cell]
K 0.000 0.331 0.000 [4 per cell]
Na 0.000 0.166 0.500 [4 per cell]
Li 0.000 0.500 0.500 [2 per cell]
Cl 0.233 0.339 0.716 [8 per cell]
Cl 0.249 0.500 0.283 [4 per cell]